# 1
Compound: FeTcPb2
Source: Alexandria
Functional: PBEsol
Structure: relaxed

```
4
Lattice="3.458 0.000 0.000 0.000 4.256 0.000 0.000 0.000 5.174" Properties=species:S:1:pos:R:3 pbc="T T T"
Fe 0.000 2.128 2.587
Pb 0.000 0.000 0.000
Pb 1.729 0.000 2.587
Tc 1.729 2.128 0.000
```

Properties
theoretical density = 12.39 Mg/m³
relative energy among the computed polymorphs = 505 meV per atom
energy relative to the elements = 873 meV/atom

---

# 2
Compound: InCo2Mo
Source: Alexandria
Functional: PBEsol
Structure: relaxed

```
4
Lattice="2.748 0.000 0.000 0.000 4.505 -0.001 -1.374 -0.997 4.366" Properties=species:S:1:pos:R:3 pbc="T T T"
Mo 1.374 0.392 2.062
Co 1.374 -0.846 4.304
Co 0.000 2.803 2.289
In 1.374 2.416 0.076
```

Properties
theoretical density = 10.10 Mg/m³
energy relative to the elements = 210 meV/atom

---

# 3
Compound: Al2AgPb
Source: Alexandria
Functional: PBEsol
Structure: relaxed

```
4
Lattice="-2.935 1.592 0.694 -0.040 -2.056 4.183 4.135 4.243 -0.442" Properties=species:S:1:pos:R:3 pbc="T T T"
Pb -1.467 0.796 0.347
Al 2.068 2.122 -0.221
Al 0.580 1.889 2.218
Ag -0.020 -1.028 2.092
```

Properties
theoretical density = 7.41 Mg/m³
energy relative to the elements = 255 meV/atom

---

# 4
Compound: BaZrAl2
Source: Alexandria
Functional: PBEsol
Structure: relaxed

```
4
Lattice="3.397 0.000 0.000 0.000 4.478 0.000 -1.698 0.000 6.771" Properties=species:S:1:pos:R:3 pbc="T T T"
Ba 0.000 0.000 1.098
Zr 0.000 2.239 5.131
Al 1.698 0.000 4.420
Al 1.698 2.239 2.866
```

Properties
theoretical density = 4.55 Mg/m³
relative energy among the computed polymorphs = 114 meV per atom
energy relative to the elements = -16 meV/atom

---

# 5
Compound: InFe3Tc
Source: Alexandria
Functional: PBEsol
Structure: relaxed

```
5
Lattice="-4.236 -1.163 0.236 0.970 -2.889 3.172 -0.684 3.106 3.039" Properties=species:S:1:pos:R:3 pbc="T T T"
Fe 0.485 -1.445 1.586
Fe -0.342 1.553 1.519
Fe -2.118 -0.581 0.118
Tc 0.000 0.000 0.000
In -1.975 -0.473 3.223
```

Properties
theoretical density = 7.42 Mg/m³
energy relative to the elements = 1318 meV/atom

---

# 6
Compound: SrNbCdAg2
Source: Alexandria
Functional: PBEsol
Structure: relaxed

```
5
Lattice="5.109 0.000 0.000 0.000 5.109 0.000 0.000 0.000 5.637" Properties=species:S:1:pos:R:3 pbc="T T T"
Sr 0.000 0.000 2.818
Nb 0.000 0.000 0.000
Ag 0.000 2.555 0.000
Ag 2.555 0.000 0.000
Cd 2.555 2.555 2.818
```

Properties
theoretical density = 5.74 Mg/m³
energy relative to the elements = 1172 meV/atom

---

# 7
Compound: Na2SnGeB
Source: Alexandria
Functional: PBEsol
Structure: relaxed

```
5
Lattice="3.974 0.000 0.000 0.000 5.916 0.000 0.000 0.000 5.916" Properties=species:S:1:pos:R:3 pbc="T T T"
Na 0.000 0.000 2.958
Na 0.000 2.958 0.000
Ge 1.987 2.958 2.958
B 1.987 0.000 0.000
Sn 0.000 0.000 0.000
```

Properties
theoretical density = 2.96 Mg/m³
energy relative to the elements = 949 meV/atom

---

# 8
Compound: Mn2InO5
Source: Alexandria
Functional: PBEsol
Structure: relaxed

```
32
Lattice="-5.056 -2.412 -0.012 1.350 -2.863 6.746 -3.167 6.623 3.445" Properties=species:S:1:pos:R:3 pbc="T T T"
Mn -2.870 2.698 1.720
Mn -5.354 1.513 1.714
Mn -5.068 4.101 3.590
Mn -3.083 -0.061 3.872
Mn -0.611 -2.045 3.370
Mn -3.095 -3.230 3.364
Mn -3.790 1.409 6.307
Mn -1.805 -2.754 6.589
In -0.289 0.599 1.535
In -1.599 3.329 4.626
In -0.218 0.430 5.565
In -1.528 3.161 8.656
O -1.342 -0.640 -0.003
O -3.714 -1.772 -0.009
O -3.289 3.655 3.277
O -5.839 2.438 3.271
O -1.140 2.377 2.479
O -3.650 1.134 2.375
O -4.940 3.823 5.564
O -2.456 5.121 5.539
O -1.381 -0.346 3.178
O -3.931 -1.562 3.172
O -4.623 0.108 5.087
O -2.250 1.240 5.092
O -2.943 2.910 7.007
O -5.493 1.694 7.001
O 0.639 -1.362 4.652
O -1.933 -2.475 4.615
O -3.223 0.213 7.804
O -0.677 1.382 7.711
O -1.034 -1.090 6.908
O -3.584 -2.307 6.902
```

Properties
uncorrected energy = -246.68 eV for the cell shown
theoretical density = 5.98 Mg/m³

---

# 9
Compound: BaAlCl2
Source: Alexandria
Functional: PBEsol
Structure: relaxed

```
4
Lattice="4.488 0.000 0.000 2.244 3.887 0.000 2.244 1.296 9.013" Properties=species:S:1:pos:R:3 pbc="T T T"
Al 4.488 2.591 4.507
Ba 0.000 0.000 0.000
Cl 2.244 1.296 1.537
Cl 6.732 3.887 7.476
```

Properties
theoretical density = 2.48 Mg/m³
relative energy among the computed polymorphs = 0 meV per atom

---

# 10
Compound: LaAsRhBr2
Source: Alexandria
Functional: PBEsol
Structure: relaxed

```
5
Lattice="4.901 0.000 0.000 0.000 4.901 0.000 0.000 0.000 4.928" Properties=species:S:1:pos:R:3 pbc="T T T"
As 0.000 0.000 2.464
Rh 0.000 0.000 0.000
Br 0.000 2.450 0.000
Br 2.450 0.000 0.000
La 2.450 2.450 2.464
```

Properties
uncorrected energy = -25.34 eV for the cell shown
theoretical density = 6.68 Mg/m³

---

# 11
Compound: InMoOs2
Source: Alexandria
Functional: PBEsol
Structure: relaxed

```
4
Lattice="-2.423 -1.979 0.067 0.022 -0.179 -4.453 2.820 -3.447 0.152" Properties=species:S:1:pos:R:3 pbc="T T T"
In 0.210 -2.802 -2.116
Mo -1.211 -0.989 0.034
Os 1.410 -1.724 0.076
Os 0.011 -0.089 -2.226
```

Properties
theoretical density = 15.80 Mg/m³
energy relative to the elements = 465 meV/atom

---

# 12
Compound: LiCuPb3
Source: Alexandria
Functional: PBEsol
Structure: relaxed

```
5
Lattice="5.199 0.000 0.000 0.000 5.199 0.000 0.000 0.000 5.199" Properties=species:S:1:pos:R:3 pbc="T T T"
Pb 0.000 2.600 0.000
Pb 0.000 0.000 2.600
Pb 2.600 0.000 0.000
Cu 0.000 0.000 0.000
Li 2.600 2.600 2.600
```

Properties
theoretical density = 8.18 Mg/m³
energy relative to the elements = 207 meV/atom

---

# 13
Compound: Na2Cu2Si4O11
Source: Alexandria
Functional: PBEsol
Structure: relaxed

```
19
Lattice="5.204 -0.003 -0.003 -1.187 6.197 -0.050 -0.981 -1.235 8.168" Properties=species:S:1:pos:R:3 pbc="T T T"
Na 3.926 1.969 1.547
Na -0.889 2.990 6.569
Cu 1.351 0.592 0.549
Cu 1.685 4.368 7.566
Si 1.152 3.830 1.470
Si -0.753 -0.018 5.562
Si 1.884 1.130 6.645
Si 3.789 4.977 2.553
O 0.428 1.105 5.865
O 2.608 3.855 2.251
O 1.979 -0.097 7.735
O 1.057 5.057 0.380
O 3.247 5.016 6.624
O -0.211 -0.057 1.491
O -0.027 4.106 2.604
O 2.194 2.546 7.321
O 3.064 0.853 5.512
O -0.490 -0.617 4.084
O 0.842 2.413 0.794
```

Properties
uncorrected energy = -133.33 eV for the cell shown
theoretical density = 2.91 Mg/m³

---

# 14
Compound: Tb3P6Pd20
Source: Alexandria
Functional: PBEsol
Structure: relaxed

```
29
Lattice="-7.916 -0.085 -3.214 -4.554 -7.230 0.049 -6.721 -0.780 5.218" Properties=species:S:1:pos:R:3 pbc="T T T"
Tb -4.798 -2.024 0.513
Tb -14.394 -6.071 1.539
Tb 0.000 0.000 0.000
P -8.799 -2.168 -0.985
P -10.392 -5.927 3.037
P -11.987 -2.538 1.489
P -7.205 -5.557 0.563
P -10.959 -5.597 -0.962
P -8.233 -2.498 3.014
Pd -11.034 -3.153 -0.693
Pd -8.158 -4.941 2.744
Pd -9.483 -6.448 0.812
Pd -10.483 -3.474 3.195
Pd -9.708 -1.647 1.240
Pd -8.709 -4.621 -1.143
Pd -7.384 -3.114 0.789
Pd -11.808 -4.981 1.262
Pd -5.175 -0.055 -2.101
Pd -2.741 -0.029 -1.113
Pd -5.304 -4.997 1.839
Pd -5.971 -3.014 3.428
Pd -7.503 -0.326 -0.295
Pd -1.577 -2.503 0.017
Pd -7.135 -0.539 2.298
Pd -2.977 -4.726 0.032
Pd -6.752 -2.559 -2.085
Pd -5.718 -4.756 -1.081
Pd -2.327 -0.270 1.807
Pd -4.394 -0.510 3.411
```

Properties
theoretical density = 10.51 Mg/m³
energy relative to the elements = -780 meV/atom

---

# 15
Compound: SiNi
Source: Alexandria
Functional: PBEsol
Structure: relaxed

```
8
Lattice="3.361 0.000 0.000 0.000 5.105 0.000 0.000 0.000 5.494" Properties=species:S:1:pos:R:3 pbc="T T T"
Si 0.840 3.465 5.013
Si 0.840 0.912 3.229
Si 2.520 1.640 0.482
Si 2.520 4.192 2.265
Ni 2.520 5.054 4.469
Ni 2.520 2.502 3.773
Ni 0.840 0.050 1.025
Ni 0.840 2.603 1.722
```

Properties
uncorrected energy = -52.34 eV for the cell shown
theoretical density = 6.12 Mg/m³

---

# 16
Compound: Mn2AsBr
Source: Alexandria
Functional: PBEsol
Structure: relaxed

```
4
Lattice="3.165 0.000 0.000 0.000 3.165 0.000 0.000 0.000 6.516" Properties=species:S:1:pos:R:3 pbc="T T T"
As 1.583 1.583 0.000
Br 1.583 1.583 3.258
Mn 0.000 0.000 5.194
Mn 0.000 0.000 1.322
```

Properties
theoretical density = 6.73 Mg/m³
relative energy among the computed polymorphs = 183 meV per atom

---

# 17
Compound: CaAlTeI2
Source: Alexandria
Functional: PBEsol
Structure: relaxed

```
5
Lattice="5.475 0.000 0.000 0.000 5.475 0.000 0.000 0.000 5.491" Properties=species:S:1:pos:R:3 pbc="T T T"
I 0.000 2.737 0.000
I 2.737 0.000 0.000
Ca 2.737 2.737 2.746
Te 0.000 0.000 2.746
Al 0.000 0.000 0.000
```

Properties
uncorrected energy = -16.16 eV for the cell shown
theoretical density = 4.52 Mg/m³

---

# 18
Compound: In2CoRu
Source: Alexandria
Functional: PBEsol
Structure: relaxed

```
4
Lattice="-1.055 1.230 -2.403 -1.322 -2.491 0.670 -5.559 4.182 4.581" Properties=species:S:1:pos:R:3 pbc="T T T"
Co -1.188 -0.630 -0.867
In -1.339 1.008 1.104
In -4.220 3.174 3.478
Ru -3.968 1.460 1.424
```

Properties
theoretical density = 10.04 Mg/m³
energy relative to the elements = 378 meV/atom

---

# 19
Compound: La2YCo
Source: Alexandria
Functional: PBEsol
Structure: relaxed

```
4
Lattice="-0.316 1.421 -3.307 -2.635 -4.562 -1.709 -3.089 3.701 3.859" Properties=species:S:1:pos:R:3 pbc="T T T"
Y -0.158 0.711 -1.653
Co -1.318 -2.281 -0.854
La -3.195 -0.768 -1.998
La -2.845 1.328 0.842
```

Properties
theoretical density = 6.77 Mg/m³
energy relative to the elements = -22 meV/atom

---

# 20
Compound: HoAl3Cl12
Source: Alexandria
Functional: PBEsol
Structure: relaxed

```
48
Lattice="10.576 0.000 0.000 -5.288 9.159 0.000 0.000 0.000 15.774" Properties=species:S:1:pos:R:3 pbc="T T T"
Ho -2.508 4.658 0.000
Ho 2.508 4.658 5.258
Ho 0.000 9.002 10.516
Al 0.000 4.993 2.629
Al 5.806 5.843 6.280
Al 7.445 1.209 1.022
Al 2.612 2.107 11.538
Al -0.964 6.662 13.145
Al 0.964 6.662 7.887
Al 7.963 2.107 9.494
Al 3.130 1.209 4.236
Al 4.769 5.843 14.752
Cl 6.038 7.678 7.263
Cl 0.907 1.390 12.520
Cl 8.918 0.090 2.005
Cl -1.999 7.263 11.353
Cl 2.001 7.258 6.096
Cl -0.003 3.796 0.838
Cl 1.999 7.263 9.678
Cl -2.001 7.258 14.936
Cl 0.003 3.796 4.420
Cl 7.580 1.013 11.377
Cl 2.375 2.088 6.119
Cl 5.908 6.058 0.861
Cl 2.996 1.013 9.655
Cl 8.200 2.088 14.913
Cl 4.667 6.058 4.397
Cl 4.448 1.373 12.554
Cl 4.253 4.620 7.296
Cl 7.162 3.166 2.038
Cl 6.127 1.373 8.478
Cl 6.322 4.620 13.736
Cl 3.414 3.166 3.220
Cl -0.928 7.620 8.199
Cl 1.775 6.152 2.941
Cl -0.847 4.545 13.457
Cl 0.928 7.620 12.833
Cl -1.775 6.152 2.317
Cl 0.847 4.545 7.575
Cl 7.836 4.171 9.837
Cl 4.982 0.287 4.579
Cl 3.045 4.701 15.095
Cl 2.739 4.171 11.195
Cl 5.594 0.287 0.679
Cl 7.531 4.701 5.937
Cl 9.669 1.390 8.511
Cl 1.657 0.090 3.253
Cl 4.537 7.678 13.769
```

Properties
uncorrected energy = -204.75 eV for the cell shown
theoretical density = 2.19 Mg/m³

---

# 21
Compound: CaSbTe2N
Source: Alexandria
Functional: PBEsol
Structure: relaxed

```
5
Lattice="4.751 0.000 0.000 0.000 4.751 0.000 0.000 0.000 4.881" Properties=species:S:1:pos:R:3 pbc="T T T"
Sb 0.000 0.000 2.441
Ca 2.376 2.376 2.441
Te 0.000 2.376 0.000
Te 2.376 0.000 0.000
N 0.000 0.000 0.000
```

Properties
theoretical density = 6.50 Mg/m³
relative energy among the computed polymorphs = 0 meV per atom

---

# 22
Compound: AlRhOF2
Source: Alexandria
Functional: PBEsol
Structure: relaxed

```
5
Lattice="-3.060 1.749 -1.278 -0.228 -2.460 -2.820 -2.123 -2.193 2.084" Properties=species:S:1:pos:R:3 pbc="T T T"
Rh -2.706 -1.452 -1.007
Al 0.000 0.000 0.000
O -1.062 -1.096 1.042
F -0.114 -1.230 -1.410
F -1.530 0.874 -0.639
```

Properties
uncorrected energy = -29.27 eV for the cell shown
theoretical density = 5.88 Mg/m³

---

# 23
Compound: Li2MgHg
Source: Alexandria
Functional: PBEsol
Structure: relaxed

```
4
Lattice="3.346 0.000 0.000 0.000 3.346 0.000 0.000 0.000 6.446" Properties=species:S:1:pos:R:3 pbc="T T T"
Mg 1.673 1.673 0.000
Hg 1.673 1.673 3.223
Li 0.000 0.000 4.664
Li 0.000 0.000 1.782
```

Properties
theoretical density = 5.50 Mg/m³
relative energy among the computed polymorphs = 55 meV per atom
energy relative to the elements = -267 meV/atom